Computed, not measured: crystalline Si3MoF at its relaxed geometry at the PBE+U level of DFT. Values from VASP.

Geometry as Quantum ESPRESSO input:
```
&SYSTEM
  ibrav = 0, nat = 5, ntyp = 3
/
ATOMIC_SPECIES
Mo 95.94 Mo.upf
Si 28.09 Si.upf
F 19.00 F.upf
ATOMIC_POSITIONS crystal
Mo 0.0000 0.0000 0.0000
Si 0.0000 0.5000 0.0000
Si 0.0000 0.0000 0.5000
Si 0.5000 0.0000 0.0000
F 0.5000 0.5000 0.5000
CELL_PARAMETERS angstrom
4.7121 0.0000 0.0000
0.0000 4.7121 0.0000
0.0000 0.0000 4.7121
```

Calculated values
Total moment: 0.46 Bohr magnetons per cell
Space-group type: No. 221
E_tot: -23.09 eV for the cell shown
D(E_F): 2.9 states/eV/f.u.
ΔE to the lowest computed polymorph: 0.000 eV per formula unit